(1)
# HfZr2Ti2 | Alexandria via LeMat-Bulk | PBE | optimized geometry
# Offset from the most stable computed form, meV per atom: 304.3
# E_form, kcal/mol of atoms: 9.49
data_HfZr2Ti2
_chemical_formula_sum 'Hf2 Zr4 Ti4'
_cell_length_a 2.930
_cell_length_b 2.930
_cell_length_c 25.274
_cell_angle_alpha 90.00
_cell_angle_beta 90.00
_cell_angle_gamma 90.00
_space_group_name_H-M_alt 'I 4 m m'
_space_group_IT_number 107
_space_group_name_Hall 'I 4 -2'
loop_
_atom_site_label
_atom_site_type_symbol
_atom_site_fract_x
_atom_site_fract_y
_atom_site_fract_z
Hf1 Hf 0.000 0.000 0.000
Zr1 Zr 0.000 0.000 0.118
Zr2 Zr 0.000 0.000 0.714
Ti1 Ti 0.000 0.000 0.309
Ti2 Ti 0.000 0.000 0.886

---

(2)
# Hf3Zr2Ti | Alexandria via LeMat-Bulk | PBE | optimized geometry
# E_form, kcal/mol of atoms: 2.66
data_Hf3Zr2Ti
_chemical_formula_sum 'Hf12 Zr8 Ti4'
_cell_length_a 15.706
_cell_length_b 6.245
_cell_length_c 5.428
_cell_angle_alpha 90.00
_cell_angle_beta 90.00
_cell_angle_gamma 90.00
_space_group_name_H-M_alt 'C m c 21'
_space_group_IT_number 36
loop_
_space_group_symop_operation_xyz
'x,y,z'
'-x,-y,z+1/2'
'-x,y,z'
'x,-y,z+1/2'
'x+1/2,y+1/2,z'
'-x+1/2,-y+1/2,z+1/2'
'-x+1/2,y+1/2,z'
'x+1/2,-y+1/2,z+1/2'
loop_
_atom_site_label
_atom_site_type_symbol
_atom_site_fract_x
_atom_site_fract_y
_atom_site_fract_z
Hf1 Hf 0.000 0.125 0.000
Hf2 Hf 0.156 0.126 0.672
Zr1 Zr 0.154 0.377 0.181
Ti1 Ti 0.000 0.373 0.516

---

(3)
# Hf2Zr2Ti | Alexandria via LeMat-Bulk | PBE | optimized geometry
# Offset from the most stable computed form, meV per atom: 0.0
# E_form, kcal/mol of atoms: 2.22
data_Hf2Zr2Ti
_chemical_formula_sum 'Hf8 Zr8 Ti4'
_cell_length_a 4.804
_cell_length_b 14.702
_cell_length_c 6.127
_cell_angle_alpha 90.00
_cell_angle_beta 90.00
_cell_angle_gamma 90.00
_space_group_name_H-M_alt 'C m c 21'
_space_group_IT_number 36
loop_
_space_group_symop_operation_xyz
'x,y,z'
'-x,-y,z+1/2'
'-x,y,z'
'x,-y,z+1/2'
'x+1/2,y+1/2,z'
'-x+1/2,-y+1/2,z+1/2'
'-x+1/2,y+1/2,z'
'x+1/2,-y+1/2,z+1/2'
loop_
_atom_site_label
_atom_site_type_symbol
_atom_site_fract_x
_atom_site_fract_y
_atom_site_fract_z
Hf1 Hf 0.000 0.003 0.000
Hf2 Hf 0.000 0.202 0.998
Zr1 Zr 0.000 0.199 0.494
Zr2 Zr 0.000 0.402 0.248
Ti1 Ti 0.000 0.394 0.745